1.
VASP calculation (PBE) on an optimized crystal structure of CaNd5Sb4.

Results
density of states at the Fermi level: 0.765 states/eV per atom

Cell lengths 9.9399, 9.9399, 8.8238 Å; angles 105.30, 105.30, 25.78 degrees
Atoms (fractional coordinates):
Ca1 0.0000 0.0000 0.0000
Nd1 0.0000 0.0000 0.5000
Nd2 0.3271 0.3271 0.6560
Nd3 0.3376 0.3376 0.1669
Nd4 0.6624 0.6624 0.8331
Nd5 0.6729 0.6729 0.3440
Sb1 0.1704 0.1704 0.0911
Sb2 0.4932 0.4932 0.7437
Sb3 0.5068 0.5068 0.2563
Sb4 0.8296 0.8296 0.9089



2.
VASP calculation (PBE) on an optimized crystal structure of RbBaTaP2.

Results
density of states at the Fermi level: 1.146 states/eV per atom
DFT formation energy: 8.85 eV per formula unit

Cell lengths 5.6369, 5.6369, 5.3888 Å; angles 90.00, 90.00, 90.00 degrees
Atoms (fractional coordinates):
Rb1 0.0000 0.0000 0.0000
Ba1 0.5000 0.5000 0.5000
Ta1 0.0000 0.0000 0.5000
P1 0.0000 0.5000 0.0000
P2 0.5000 0.0000 0.0000



3.
VASP calculation (PBE) on an optimized crystal structure of AcLa2In6.

Results
density of states at the Fermi level: 0.653 states/eV per atom
DFT formation energy: -4.29 eV per formula unit

Cell lengths 8.8466, 8.8466, 3.8771 Å; angles 90.00, 90.00, 120.00 degrees
Atoms (fractional coordinates):
Ac1 0.0000 0.0000 0.0000
La1 0.3333 0.6667 0.0000
La2 0.6667 0.3333 0.0000
In1 0.0000 0.3361 0.5000
In2 0.0000 0.6639 0.5000
In3 0.3361 0.0000 0.5000
In4 0.3361 0.3361 0.5000
In5 0.6639 0.0000 0.5000
In6 0.6639 0.6639 0.5000



4.
VASP calculation (PBE) on an optimized crystal structure of NbAl2SbCl.

Results
density of states at the Fermi level: 0.991 states/eV per atom

Cell lengths 5.5019, 5.5019, 5.3645 Å; angles 90.00, 90.00, 90.00 degrees
Atoms (fractional coordinates):
Nb1 0.0000 0.0000 0.0000
Al1 0.0000 0.5000 0.5000
Al2 0.5000 0.0000 0.5000
Sb1 0.0000 0.0000 0.5000
Cl1 0.5000 0.5000 0.0000



Number 1: total DFT energy (no corrections) -49.702 eV/cell. Number 2: total DFT energy (no corrections) -16.714 eV/cell. Number 3: total DFT energy (no corrections) -34.685 eV/cell. Number 4: total DFT energy (no corrections) -18.371 eV/cell.